# 1
VASP calculation (PBE) on a geometry-optimized Ac4Sb2I3 structure.

Computed properties:
Formation energy (no corrections) ... -11.27 eV/f.u.
E_tot ... -4.51 eV per atom
Space group ... P-3m1 (164)
Calculated density ... 6.603 Mg/m³

a = 4.7888 Å, b = 4.7888 Å, c = 19.4024 Å
α = 90.01°, β = 89.99°, γ = 120.00°
Fractional positions:
Ac 0.3334 0.6666 0.8896
Ac 0.9998 0.0002 0.2942
Ac 0.0002 0.9998 0.7058
Ac 0.6666 0.3334 0.1104
Sb 0.6668 0.3332 0.7987
Sb 0.3332 0.6668 0.2013
I 0.6664 0.3336 0.4000
I 0.0000 0.0000 0.0000
I 0.3336 0.6664 0.6000



# 2
VASP calculation (PBE) on a geometry-optimized AcSbI structure.

Computed properties:
Formation energy (no corrections) ... -3.13 eV/f.u.
Polymorph energy (0 for the lowest one) ... 0 kJ/mol of formula units
E_tot ... -4.30 eV per atom
Space group ... P-3m1 (164)
Calculated density ... 5.999 Mg/m³

a = 5.1109 Å, b = 5.1109 Å, c = 11.6399 Å
α = 90.00°, β = 90.00°, γ = 120.00°
Fractional positions:
Ac 0.0000 0.0000 0.1710
Ac 0.0000 0.0000 0.8290
Sb 0.6667 0.3333 0.0091
Sb 0.3333 0.6667 0.9909
I 0.3333 0.6667 0.3394
I 0.6667 0.3333 0.6606



# 3
VASP calculation (PBE) on a geometry-optimized Ac4SiSb2I structure.

Computed properties:
Formation energy (no corrections) ... -8.20 eV/f.u.
E_tot ... -4.98 eV per atom
Space group ... P2/m (10)
Calculated density ... 7.204 Mg/m³

a = 4.7439 Å, b = 8.1519 Å, c = 8.2470 Å
α = 70.77°, β = 90.00°, γ = 90.00°
Fractional positions:
Ac 0.0000 0.7548 0.7272
Ac 0.0000 0.2452 0.2728
Ac 0.5000 0.7418 0.2691
Ac 0.5000 0.2582 0.7309
Si 0.0000 0.5000 0.5000
Sb 0.0000 0.0000 0.0000
Sb 0.5000 0.0000 0.5000
I 0.5000 0.5000 0.0000



# 4
VASP calculation (PBE) on a geometry-optimized AcSmSbI structure.

Computed properties:
Formation energy (no corrections) ... -3.86 eV/f.u.
E_tot ... -4.59 eV per atom
Space group ... F-43m (216)
Calculated density ... 8.219 Mg/m³

a = 5.6343 Å, b = 5.6343 Å, c = 5.6343 Å
α = 60.00°, β = 60.00°, γ = 60.00°
Fractional positions:
I 0.2500 0.2500 0.2500
Sb 0.7500 0.7500 0.7500
Ac 0.5000 0.5000 0.5000
Sm 0.0000 0.0000 0.0000